(1)
! Sc4NiAgRh2 (GGA-PBE, optimized geometry); values from VASP
! - ΔH_f (0 K): -524 kJ/mol of formula units
! - Volume: 17.5 Å³ per atom
! - SG: No. 166
&SYSTEM
  ibrav = 0, nat = 8, ntyp = 4
/
ATOMIC_SPECIES
Sc 44.96 Sc.upf
Ni 58.69 Ni.upf
Ag 107.87 Ag.upf
Rh 102.91 Rh.upf
ATOMIC_POSITIONS crystal
Sc 0.1201 0.1201 0.1201
Sc 0.3710 0.3710 0.3710
Sc 0.6290 0.6290 0.6290
Sc 0.8799 0.8799 0.8799
Ni 0.0000 0.0000 0.0000
Ag 0.5000 0.5000 0.5000
Rh 0.2503 0.2503 0.2503
Rh 0.7497 0.7497 0.7497
CELL_PARAMETERS angstrom
2.3169 1.3376 7.5482
-2.3169 1.3376 7.5482
0.0000 -2.6753 7.5482

(2)
! SiNiAgRh2 (GGA-PBE, optimized geometry); values from VASP
! - Volume: 20.8 Å³ per atom
! - SG: No. 123
! - E_form (uncorrected): 1.709 eV/atom
&SYSTEM
  ibrav = 0, nat = 5, ntyp = 4
/
ATOMIC_SPECIES
Si 28.09 Si.upf
Ni 58.69 Ni.upf
Ag 107.87 Ag.upf
Rh 102.91 Rh.upf
ATOMIC_POSITIONS crystal
Si 0.0000 0.0000 0.0000
Ni 0.5000 0.5000 0.0000
Ag 0.5000 0.5000 0.5000
Rh 0.0000 0.5000 0.5000
Rh 0.5000 0.0000 0.5000
CELL_PARAMETERS angstrom
4.8157 0.0000 0.0000
0.0000 4.8157 0.0000
0.0000 0.0000 4.4824

(3)
! NiAgSnRh (GGA-PBE, optimized geometry); values from VASP
! - ΔH_f (0 K): -41 kJ/mol of formula units
! - Volume: 15.8 Å³ per atom
! - SG: No. 216
&SYSTEM
  ibrav = 0, nat = 4, ntyp = 4
/
ATOMIC_SPECIES
Ni 58.69 Ni.upf
Ag 107.87 Ag.upf
Sn 118.71 Sn.upf
Rh 102.91 Rh.upf
ATOMIC_POSITIONS crystal
Ni 0.0000 0.0000 0.0000
Ag 0.2500 0.2500 0.2500
Sn 0.7500 0.7500 0.7500
Rh 0.5000 0.5000 0.5000
CELL_PARAMETERS angstrom
0.0000 3.1626 3.1626
3.1626 0.0000 3.1626
3.1626 3.1626 0.0000

> Which value of volume does entry 2 give?

20.8 Å³ per atom

> volume of number 2 (SiNiAgRh2)?

20.8 Å³ per atom